Entry 1:
Entry from the Alexandria database: LaTlNO2 after structural relaxation (PBE).

Summary:
For the electronic total energy, the calculation gives -5.8158 eV/atom. For the total magnetic moment, the calculation gives 0.0000 μB per atom. Its uncorrected formation energy is -709 meV/atom.

```
LaTlNO2
1.0
4.271 0.000 0.000
0.000 4.271 0.000
0.000 0.000 4.253
O Tl N La
2 1 1 1
direct
0.000 0.500 0.000
0.500 0.000 0.000
0.000 0.000 0.000
0.000 0.000 0.500
0.500 0.500 0.500
```

=====

Entry 2:
Entry from the Alexandria database: LaUN2O after structural relaxation (PBE).

Summary:
For the electronic total energy, the calculation gives -9.4831 eV/atom. For the total magnetic moment, the calculation gives 0.1039 μB per atom. Its uncorrected formation energy is -1918 meV/atom.

```
LaUN2O
1.0
3.788 0.000 0.000
0.000 3.788 0.000
0.000 0.000 11.283
O N U La
2 4 2 2
direct
0.500 0.500 0.500
0.000 0.000 0.500
0.000 0.500 0.736
0.500 0.000 0.922
0.000 0.500 0.078
0.500 0.000 0.264
0.000 0.500 0.900
0.500 0.000 0.100
0.000 0.500 0.381
0.500 0.000 0.619
```